The following is a PBE calculation of Sm12ThIn6 after structural relaxation, from the Alexandria database.

a = 8.3295 Å, b = 8.3295 Å, c = 8.3295 Å
α = 89.44°, β = 89.44°, γ = 89.44°
Atoms (fractional coordinates):
In 0.1234 0.7398 0.2793
In 0.8766 0.2602 0.7207
Sm 0.1232 0.3830 0.0743
In 0.7207 0.8766 0.2602
Sm 0.8066 0.5292 0.4344
Th 0.0000 0.0000 0.0000
Sm 0.5292 0.4344 0.8066
Sm 0.3830 0.0743 0.1232
In 0.2602 0.7207 0.8766
Sm 0.6170 0.9257 0.8768
In 0.7398 0.2793 0.1234
Sm 0.0743 0.1232 0.3830
Sm 0.4708 0.5656 0.1934
In 0.2793 0.1234 0.7398
Sm 0.1934 0.4708 0.5656
Sm 0.9257 0.8768 0.6170
Sm 0.4344 0.8066 0.5292
Sm 0.5656 0.1934 0.4708
Sm 0.8768 0.6170 0.9257

Its calculated total energy is -84.35 eV/cell. For the formation energy, the calculation gives -0.20 eV/atom. The value obtained for the density of states at the Fermi level is 20.09 states/eV per cell. The total moment comes out at 0.000 μB/atom.